P2S: relaxed, GGA-PBE.

The structure in CIF format:
```
data_P2S
_cell_length_a 3.481
_cell_length_b 2.437
_cell_length_c 5.753
_cell_angle_alpha 90.00
_cell_angle_beta 106.83
_cell_angle_gamma 90.00
_space_group_name_H-M_alt 'P 1 2/m 1'
_space_group_IT_number 10
_space_group_name_Hall '-P 2y'
loop_
_atom_site_label
_atom_site_fract_x
_atom_site_fract_y
_atom_site_fract_z
P1 0.184 0.000 0.358
S1 0.500 0.000 0.000
```

Values from the calculation:
offset from the most stable computed form = 196 meV per atom
ρ = 3.34 g/cm3
energy relative to the elements, uncorrected = 0.221 eV per atom

BeV3Ru: relaxed, GGA-PBE.

The structure in CIF format:
```
data_BeV3Ru
_cell_length_a 4.065
_cell_length_b 4.065
_cell_length_c 4.065
_cell_angle_alpha 90.00
_cell_angle_beta 90.00
_cell_angle_gamma 90.00
_space_group_name_H-M_alt 'P m -3 m'
_space_group_IT_number 221
_space_group_name_Hall '-P 4 2 3'
loop_
_atom_site_label
_atom_site_fract_x
_atom_site_fract_y
_atom_site_fract_z
Be1 0.000 0.000 0.000
V1 0.000 0.000 0.500
Ru1 0.500 0.500 0.500
```

Values from the calculation:
offset from the most stable computed form = 0 meV per atom
ρ = 6.50 g/cm3
ΔE_f = 309 kJ/mol of formula units